Tm4CSeS2: relaxed, PBE-GGA.

abc: 6.594 3.774 6.766
angles: 90.00 109.02 90.00
Fractional positions:
Tm (0.221, 0.000, 0.213)
Tm (0.237, 0.500, 0.783)
Tm (0.763, 0.500, 0.217)
Tm (0.779, 0.000, 0.787)
C (0.000, 0.500, 0.000)
Se (0.000, 0.000, 0.500)
S (0.500, 0.000, 0.000)
S (0.500, 0.500, 0.500)

Computed properties:
D(E_F) = 0.251 states/eV/atom
density = 8.7 g/cm3
space group = P2/m, No. 10
final energy = -6.43 eV/atom

---

Tm8CSe3S3: relaxed, PBE-GGA.

abc: 7.858 7.858 7.858
angles: 58.73 58.73 58.73
Fractional positions:
Tm (0.241, 0.241, 0.241)
Tm (0.265, 0.724, 0.724)
Tm (0.276, 0.276, 0.735)
Tm (0.276, 0.735, 0.276)
Tm (0.724, 0.265, 0.724)
Tm (0.724, 0.724, 0.265)
Tm (0.735, 0.276, 0.276)
Tm (0.759, 0.759, 0.759)
C (0.500, 0.500, 0.500)
Se (0.000, 0.500, 0.500)
Se (0.500, 0.000, 0.500)
Se (0.500, 0.500, 0.000)
S (0.000, 0.000, 0.500)
S (0.000, 0.500, 0.000)
S (0.500, 0.000, 0.000)

Computed properties:
D(E_F) = 0.407 states/eV/atom
density = 8.5 g/cm3
space group = R-3m, No. 166
final energy = -6.06 eV/atom

---

U6C3SeS2: relaxed, PBE-GGA.

abc: 8.466 8.466 7.631
angles: 106.33 106.33 24.96
Fractional positions:
U (0.008, 0.008, 0.219)
U (0.321, 0.321, 0.436)
U (0.341, 0.341, 0.898)
U (0.659, 0.659, 0.102)
U (0.679, 0.679, 0.564)
U (0.992, 0.992, 0.781)
C (0.165, 0.165, 0.330)
C (0.500, 0.500, 0.000)
C (0.835, 0.835, 0.670)
Se (0.500, 0.500, 0.500)
S (0.167, 0.167, 0.832)
S (0.833, 0.833, 0.168)

Computed properties:
D(E_F) = 2.233 states/eV/atom
density = 12.1 g/cm3
space group = C2/m, No. 12
final energy = -9.61 eV/atom

---

Y6C2Se3S: relaxed, PBE-GGA.

abc: 8.815 8.815 7.991
angles: 104.82 104.82 25.10
Fractional positions:
Y (0.020, 0.020, 0.254)
Y (0.322, 0.322, 0.442)
Y (0.330, 0.330, 0.875)
Y (0.670, 0.670, 0.125)
Y (0.678, 0.678, 0.558)
Y (0.980, 0.980, 0.746)
C (0.168, 0.168, 0.334)
C (0.832, 0.832, 0.666)
Se (0.161, 0.161, 0.834)
Se (0.500, 0.500, 0.500)
Se (0.839, 0.839, 0.166)
S (0.500, 0.500, 0.000)

Computed properties:
D(E_F) = 0.324 states/eV/atom
density = 5.4 g/cm3
space group = C2/m, No. 12
final energy = -7.44 eV/atom

---

Y6CSe2S3: relaxed, PBE-GGA.

abc: 8.884 8.884 7.958
angles: 102.20 102.20 25.21
Fractional positions:
Y (0.002, 0.002, 0.287)
Y (0.343, 0.343, 0.905)
Y (0.355, 0.355, 0.436)
Y (0.645, 0.645, 0.564)
Y (0.657, 0.657, 0.095)
Y (0.998, 0.998, 0.713)
C (0.500, 0.500, 0.500)
Se (0.170, 0.170, 0.837)
Se (0.830, 0.830, 0.163)
S (0.169, 0.169, 0.339)
S (0.500, 0.500, 0.000)
S (0.831, 0.831, 0.661)

Computed properties:
D(E_F) = 0.281 states/eV/atom
density = 5.1 g/cm3
space group = C2/m, No. 12
final energy = -7.32 eV/atom

---

Y2CSeS: relaxed, PBE-GGA.

abc: 4.930 4.930 4.104
angles: 90.00 90.00 90.00
Fractional positions:
Y (0.000, 0.500, 0.000)
Y (0.500, 0.000, 0.000)
C (0.000, 0.000, 0.000)
Se (0.000, 0.000, 0.500)
S (0.500, 0.500, 0.500)

Computed properties:
polymorph energy (0 for the lowest one) = 0 meV per atom
D(E_F) = 0.271 states/eV/atom
density = 5.0 g/cm3
space group = P4/mmm, No. 123
final energy = -6.53 eV/atom